1.
{"formula": "Sm5Ho3Tm", "functional": "PBE-GGA", "state": "relaxed", "lattice_angstrom": [[-3.0793, -1.9679, 8.8203], [7.9100, -1.5922, 5.1039], [3.1753, 5.2729, 9.9223]], "species": ["Sm", "Sm", "Sm", "Sm", "Sm", "Sm", "Sm", "Sm", "Sm", "Sm", "Ho", "Ho", "Ho", "Ho", "Ho", "Ho", "Tm", "Tm"], "frac_coords": [[0.8459, 0.3406, 0.2587], [0.2543, 0.7457, 0.0000], [0.8204, 0.8204, 0.9556], [0.4901, 0.4901, 0.2374], [0.5099, 0.5099, 0.7626], [0.1796, 0.1796, 0.0444], [0.3406, 0.8459, 0.2587], [0.7457, 0.2543, 0.0000], [0.1541, 0.6594, 0.7413], [0.6594, 0.1541, 0.7413], [0.6851, 0.6851, 0.8235], [0.6618, 0.6618, 0.3540], [0.0000, 0.0000, 0.0000], [0.0000, 0.0000, 0.5000], [0.3149, 0.3149, 0.1765], [0.3382, 0.3382, 0.6460], [0.1524, 0.1524, 0.5955], [0.8476, 0.8476, 0.4045]], "volume_a3_per_cell": 666.55, "dos_at_fermi_per_ev_atom": 1.48, "sg": "C2/m (12)", "magnetic_moment_mub_per_cell": 0.00, "energy_ev_per_cell": -74.59}

2.
{"formula": "Sm5HoTm3", "functional": "PBE-GGA", "state": "relaxed", "lattice_angstrom": [[6.6913, 0.0000, 0.0000], [-3.3456, 10.1576, -5.5211], [0.0000, -3.9260, 10.7994]], "species": ["Sm", "Sm", "Sm", "Sm", "Sm", "Sm", "Sm", "Sm", "Sm", "Sm", "Ho", "Ho", "Tm", "Tm", "Tm", "Tm", "Tm", "Tm"], "frac_coords": [[0.3107, 0.0000, 0.7500], [0.7444, 0.6583, 0.0016], [0.6149, 0.2227, 0.1707], [0.2556, 0.3417, 0.9984], [0.3922, 0.7773, 0.3293], [0.6893, 0.0000, 0.2500], [0.9138, 0.6583, 0.5016], [0.0862, 0.3417, 0.4984], [0.6078, 0.2227, 0.6707], [0.3851, 0.7773, 0.8293], [0.7592, 0.0000, 0.7500], [0.2408, 0.0000, 0.2500], [0.0000, 0.0000, 0.0000], [0.3565, 0.5228, 0.3963], [0.0000, 0.0000, 0.5000], [0.6435, 0.4772, 0.6037], [0.1663, 0.5228, 0.8963], [0.8337, 0.4772, 0.1037]], "volume_a3_per_cell": 588.97, "dos_at_fermi_per_ev_atom": 1.37, "sg": "C2/c (15)", "magnetic_moment_mub_per_cell": 0.00, "energy_ev_per_cell": -79.87}

3.
{"formula": "Sm7HoTm3", "functional": "PBE-GGA", "state": "relaxed", "lattice_angstrom": [[8.4735, -0.7407, -2.8993], [-2.2531, 9.6600, -0.6187], [-1.8998, -0.1080, 5.2559]], "species": ["Sm", "Sm", "Sm", "Sm", "Sm", "Sm", "Sm", "Ho", "Tm", "Tm", "Tm"], "frac_coords": [[0.9169, 0.8297, 0.9168], [0.8213, 0.6405, 0.3212], [0.6465, 0.2921, 0.1466], [0.3535, 0.7079, 0.8534], [0.5000, 0.0000, 0.5000], [0.1787, 0.3595, 0.6788], [0.0831, 0.1703, 0.0832], [0.5000, 0.5000, 0.5000], [0.2211, 0.0006, 0.7211], [0.0000, 0.5000, 0.0000], [0.7789, 0.9994, 0.2789]], "volume_a3_per_cell": 366.09, "dos_at_fermi_per_ev_atom": 1.46, "sg": "P2/m (10)", "magnetic_moment_mub_per_cell": 0.00, "energy_ev_per_cell": -49.66}

4.
{"formula": "Sm2Ho3Tm8", "functional": "PBE-GGA", "state": "relaxed", "lattice_angstrom": [[-4.7840, 0.9088, -2.5251], [1.9628, -4.7993, -5.4460], [-5.2242, -5.3047, 7.9912]], "species": ["Sm", "Sm", "Ho", "Ho", "Ho", "Tm", "Tm", "Tm", "Tm", "Tm", "Tm", "Tm", "Tm"], "frac_coords": [[0.4997, 0.2406, 0.4814], [0.5003, 0.7594, 0.5186], [0.5000, 0.0000, 0.0000], [0.0000, 0.2853, 0.0001], [0.0000, 0.7147, 0.9999], [0.0002, 0.6623, 0.3245], [0.9998, 0.3377, 0.6755], [0.0000, 0.1296, 0.2593], [0.0000, 0.8704, 0.7407], [0.4999, 0.6058, 0.7840], [0.4999, 0.1780, 0.7839], [0.5001, 0.8220, 0.2161], [0.5001, 0.3942, 0.2160]], "volume_a3_per_cell": 422.89, "dos_at_fermi_per_ev_atom": 1.73, "sg": "Cmmm (65)", "magnetic_moment_mub_per_cell": 0.00, "energy_ev_per_cell": -55.68}

5.
{"formula": "Sm4Ho3Tm2", "functional": "PBE-GGA", "state": "relaxed", "lattice_angstrom": [[5.9560, 0.0797, 0.4812], [0.6159, 9.4488, 3.6731], [0.2215, -0.1911, 10.1521]], "species": ["Sm", "Sm", "Sm", "Sm", "Sm", "Sm", "Sm", "Sm", "Ho", "Ho", "Ho", "Ho", "Ho", "Ho", "Tm", "Tm", "Tm", "Tm"], "frac_coords": [[0.5474, 0.0477, 0.8241], [0.9526, 0.1759, 0.9523], [0.4526, 0.9523, 0.1759], [0.0474, 0.8241, 0.0477], [0.6145, 0.8371, 0.6167], [0.8855, 0.3833, 0.1629], [0.3855, 0.1629, 0.3833], [0.1145, 0.6167, 0.8371], [0.0807, 0.9832, 0.6791], [0.4193, 0.3209, 0.0168], [0.9193, 0.0168, 0.3209], [0.5807, 0.6791, 0.9832], [0.2500, 0.3493, 0.6507], [0.7500, 0.6507, 0.3493], [0.2041, 0.7086, 0.4956], [0.2959, 0.5044, 0.2914], [0.7959, 0.2914, 0.5044], [0.7041, 0.4956, 0.7086]], "volume_a3_per_cell": 574.02, "dos_at_fermi_per_ev_atom": 1.36, "sg": "C2/c (15)", "magnetic_moment_mub_per_cell": 0.00, "energy_ev_per_cell": -81.41}

6.
{"formula": "Sm2Ho2Tm7", "functional": "PBE-GGA", "state": "relaxed", "lattice_angstrom": [[-1.3720, 6.2656, 4.7180], [-8.0170, 1.1713, 6.2694], [7.6720, 0.4160, 2.0898]], "species": ["Sm", "Sm", "Ho", "Ho", "Tm", "Tm", "Tm", "Tm", "Tm", "Tm", "Tm"], "frac_coords": [[0.2124, 0.6940, 0.7876], [0.7876, 0.3060, 0.2124], [0.7125, 0.0000, 0.7125], [0.2875, 0.0000, 0.2875], [0.2325, 0.6789, 0.2431], [0.7569, 0.6788, 0.7675], [0.6516, 0.0781, 0.3484], [0.0000, 0.5000, 0.0000], [0.3484, 0.9219, 0.6516], [0.7675, 0.3211, 0.7569], [0.2431, 0.3212, 0.2325]], "volume_a3_per_cell": 348.43, "dos_at_fermi_per_ev_atom": 1.64, "sg": "C2/m (12)", "magnetic_moment_mub_per_cell": 0.00, "energy_ev_per_cell": -48.14}

7.
{"formula": "Sm3Ho12Tm", "functional": "PBE-GGA", "state": "relaxed", "lattice_angstrom": [[5.0064, 0.0000, 0.0000], [0.0000, 5.0064, 0.0000], [0.0000, 0.0000, 20.0270]], "species": ["Sm", "Sm", "Sm", "Ho", "Ho", "Ho", "Ho", "Ho", "Ho", "Ho", "Ho", "Ho", "Ho", "Ho", "Ho", "Tm"], "frac_coords": [[0.0000, 0.0000, 0.2492], [0.0000, 0.0000, 0.5000], [0.0000, 0.0000, 0.7508], [0.5000, 0.5000, 0.0000], [0.5000, 0.5000, 0.2486], [0.5000, 0.5000, 0.5000], [0.5000, 0.5000, 0.7514], [0.5000, 0.0000, 0.1233], [0.5000, 0.0000, 0.3744], [0.5000, 0.0000, 0.6256], [0.5000, 0.0000, 0.8767], [0.0000, 0.5000, 0.1233], [0.0000, 0.5000, 0.3744], [0.0000, 0.5000, 0.6256], [0.0000, 0.5000, 0.8767], [0.0000, 0.0000, 0.0000]], "volume_a3_per_cell": 501.95, "dos_at_fermi_per_ev_atom": 1.32, "sg": "P4/mmm (123)", "magnetic_moment_mub_per_cell": 0.00, "energy_ev_per_cell": -73.23}

8.
{"formula": "Sm2Ho15Tm2", "functional": "PBE-GGA", "state": "relaxed", "lattice_angstrom": [[6.6244, -5.5702, -0.5896], [6.6244, 5.5702, -0.5896], [2.7260, 0.0000, 8.2356]], "species": ["Sm", "Sm", "Ho", "Ho", "Ho", "Ho", "Ho", "Ho", "Ho", "Ho", "Ho", "Ho", "Ho", "Ho", "Ho", "Ho", "Ho", "Tm", "Tm"], "frac_coords": [[0.3247, 0.3247, 0.3247], [0.6753, 0.6753, 0.6753], [0.0000, 0.0000, 0.5000], [0.5000, 0.0000, 0.0000], [0.0000, 0.5000, 0.0000], [0.2975, 0.7025, 0.0000], [0.0000, 0.2975, 0.7025], [0.7025, 0.0000, 0.2975], [0.0000, 0.7025, 0.2975], [0.2975, 0.0000, 0.7025], [0.7025, 0.2975, 0.0000], [0.6321, 0.6321, 0.1477], [0.1477, 0.6321, 0.6321], [0.6321, 0.1477, 0.6321], [0.3679, 0.3679, 0.8523], [0.8523, 0.3679, 0.3679], [0.3679, 0.8523, 0.3679], [0.0967, 0.0967, 0.0967], [0.9033, 0.9033, 0.9033]], "volume_a3_per_cell": 625.68, "dos_at_fermi_per_ev_atom": 1.89, "sg": "R-3m (166)", "magnetic_moment_mub_per_cell": 0.00, "energy_ev_per_cell": -81.69}

9.
{"formula": "Sm4Ho2Tm3", "functional": "PBE-GGA", "state": "relaxed", "lattice_angstrom": [[5.9125, 0.0882, 0.4912], [0.6330, 9.4721, 3.6866], [0.2377, -0.1883, 10.1794]], "species": ["Sm", "Sm", "Sm", "Sm", "Sm", "Sm", "Sm", "Sm", "Ho", "Ho", "Ho", "Ho", "Tm", "Tm", "Tm", "Tm", "Tm", "Tm"], "frac_coords": [[0.5452, 0.0464, 0.8263], [0.9548, 0.1737, 0.9536], [0.4548, 0.9536, 0.1737], [0.0452, 0.8263, 0.0464], [0.6183, 0.8372, 0.6192], [0.8817, 0.3808, 0.1628], [0.3817, 0.1628, 0.3808], [0.1183, 0.6192, 0.8372], [0.2066, 0.7085, 0.4968], [0.2934, 0.5032, 0.2915], [0.7934, 0.2915, 0.5032], [0.7066, 0.4968, 0.7085], [0.0811, 0.9842, 0.6796], [0.4189, 0.3204, 0.0158], [0.9189, 0.0158, 0.3204], [0.5811, 0.6796, 0.9842], [0.2500, 0.3493, 0.6507], [0.7500, 0.6507, 0.3493]], "volume_a3_per_cell": 572.53, "dos_at_fermi_per_ev_atom": 1.33, "sg": "C2/c (15)", "magnetic_moment_mub_per_cell": 0.00, "energy_ev_per_cell": -81.23}

10.
{"formula": "Sm4HoTm3", "functional": "PBE-GGA", "state": "relaxed", "lattice_angstrom": [[-2.2921, -1.3485, 4.2856], [3.4643, -9.3776, -1.0979], [8.2877, 2.4524, 5.2042]], "species": ["Tm", "Tm", "Tm", "Tm", "Tm", "Tm", "Ho", "Ho", "Sm", "Sm", "Sm", "Sm", "Sm", "Sm", "Sm", "Sm"], "frac_coords": [[0.5644, 0.6210, 0.0000], [0.0644, 0.6206, 0.2499], [0.5644, 0.3794, 0.2501], [0.0644, 0.3790, 0.5000], [0.5644, 0.3794, 0.7499], [0.0644, 0.6206, 0.7501], [0.0644, 0.3794, 0.0000], [0.5644, 0.6206, 0.5000], [0.0644, 0.8715, 0.0000], [0.5644, 0.1285, 0.0000], [0.0644, 0.1284, 0.2502], [0.5644, 0.8716, 0.2498], [0.0644, 0.8715, 0.5000], [0.5644, 0.1285, 0.5000], [0.5644, 0.8716, 0.7502], [0.0644, 0.1284, 0.7498]], "volume_a3_per_cell": 511.74, "dos_at_fermi_per_ev_atom": 1.60, "sg": "Pmmn (59)", "magnetic_moment_mub_per_cell": 0.00, "energy_ev_per_cell": -73.30}

11.
{"formula": "SmHo6Tm", "functional": "PBE-GGA", "state": "relaxed", "lattice_angstrom": [[-5.3982, 2.7752, -2.8254], [1.0832, -3.3900, -5.4588], [-5.7648, -3.7843, -0.7669]], "species": ["Sm", "Ho", "Ho", "Ho", "Ho", "Ho", "Ho", "Tm"], "frac_coords": [[0.0000, 0.0000, 0.0000], [0.0936, 0.7680, 0.4830], [0.5693, 0.7280, 0.5260], [0.4307, 0.2720, 0.4740], [0.9064, 0.2320, 0.5170], [0.5462, 0.7477, 0.0020], [0.4538, 0.2523, 0.9980], [0.0000, 0.5000, 0.0000]], "volume_a3_per_cell": 253.91, "dos_at_fermi_per_ev_atom": 1.72, "sg": "P-1 (2)", "magnetic_moment_mub_per_cell": 0.00, "energy_ev_per_cell": -34.98}

12.
{"formula": "Sm5Ho4Tm3", "functional": "PBE-GGA", "state": "relaxed", "lattice_angstrom": [[-5.3339, -0.6120, -0.7008], [-1.9104, -0.4794, -5.9574], [-1.0135, -13.0503, -1.8055]], "species": ["Sm", "Sm", "Sm", "Sm", "Sm", "Ho", "Ho", "Ho", "Ho", "Tm", "Tm", "Tm"], "frac_coords": [[0.4098, 0.0488, 0.1317], [0.5000, 0.5000, 0.5000], [0.1412, 0.6865, 0.0310], [0.8588, 0.3135, 0.9690], [0.5902, 0.9512, 0.8683], [0.0400, 0.2017, 0.7184], [0.3268, 0.5842, 0.7622], [0.6732, 0.4158, 0.2378], [0.9600, 0.7983, 0.2816], [0.2742, 0.0561, 0.3954], [0.0000, 0.5000, 0.5000], [0.7258, 0.9439, 0.6046]], "volume_a3_per_cell": 391.35, "dos_at_fermi_per_ev_atom": 1.34, "sg": "C2/m (12)", "magnetic_moment_mub_per_cell": 0.01, "energy_ev_per_cell": -52.35}

13.
{"formula": "Sm2Ho7Tm2", "functional": "PBE-GGA", "state": "relaxed", "lattice_angstrom": [[5.4292, 1.4705, 2.1220], [1.2091, 8.2426, 1.9075], [1.2091, -1.1085, 8.3875]], "species": ["Sm", "Sm", "Ho", "Ho", "Ho", "Ho", "Ho", "Ho", "Ho", "Tm", "Tm"], "frac_coords": [[0.1305, 0.2297, 0.2297], [0.8695, 0.7703, 0.7703], [0.1733, 0.0609, 0.5896], [0.8267, 0.4104, 0.9391], [0.8267, 0.9391, 0.4104], [0.1733, 0.5896, 0.0609], [0.0000, 0.0000, 0.0000], [0.6278, 0.5867, 0.5867], [0.3722, 0.4133, 0.4133], [0.5000, 0.2180, 0.7820], [0.5000, 0.7820, 0.2180]], "volume_a3_per_cell": 351.31, "dos_at_fermi_per_ev_atom": 1.61, "sg": "C2/m (12)", "magnetic_moment_mub_per_cell": 0.00, "energy_ev_per_cell": -48.67}

14.
{"formula": "Sm4Ho10Tm", "functional": "PBE-GGA", "state": "relaxed", "lattice_angstrom": [[7.1682, 0.0000, 3.2367], [3.5841, 7.9422, 1.6184], [0.3156, 0.0000, 8.8568]], "species": ["Sm", "Sm", "Sm", "Sm", "Ho", "Ho", "Ho", "Ho", "Ho", "Ho", "Ho", "Ho", "Ho", "Ho", "Tm"], "frac_coords": [[0.2291, 0.0002, 0.5416], [0.7707, 0.4584, 0.0002], [0.2293, 0.5416, 0.9998], [0.7709, 0.9998, 0.4584], [0.2500, 0.5000, 0.5000], [0.7079, 0.2087, 0.7913], [0.0834, 0.2087, 0.2087], [0.5008, 0.7913, 0.7913], [0.7079, 0.7913, 0.2087], [0.2921, 0.7913, 0.2087], [0.7500, 0.5000, 0.5000], [0.2921, 0.2087, 0.7913], [0.4992, 0.2087, 0.2087], [0.9166, 0.7913, 0.7913], [0.0000, 0.0000, 0.0000]], "volume_a3_per_cell": 496.11, "dos_at_fermi_per_ev_atom": 1.45, "sg": "I4/mmm (139)", "magnetic_moment_mub_per_cell": 0.00, "energy_ev_per_cell": -65.10}

15.
{"formula": "Sm2Ho5Tm2", "functional": "PBE-GGA", "state": "relaxed", "lattice_angstrom": [[11.7090, 0.0000, 0.0000], [0.0000, 6.6792, 0.0000], [-5.8545, -3.3396, 7.4110]], "species": ["Sm", "Sm", "Sm", "Sm", "Ho", "Ho", "Ho", "Ho", "Ho", "Ho", "Ho", "Ho", "Ho", "Ho", "Tm", "Tm", "Tm", "Tm"], "frac_coords": [[0.0000, 0.0115, 0.0000], [0.5000, 0.5115, 0.0000], [0.2607, 0.3578, 0.5000], [0.7393, 0.8578, 0.5000], [0.2026, 0.6540, 0.8953], [0.7974, 0.7588, 0.1047], [0.1926, 0.1540, 0.8953], [0.8074, 0.2588, 0.1047], [0.3789, 0.0368, 0.2851], [0.6211, 0.7517, 0.7149], [0.4062, 0.5368, 0.2851], [0.5938, 0.2517, 0.7149], [0.0013, 0.6499, 0.5000], [0.9987, 0.1499, 0.5000], [0.1229, 0.6847, 0.2538], [0.8771, 0.4309, 0.7462], [0.6309, 0.1847, 0.2538], [0.3691, 0.9309, 0.7462]], "volume_a3_per_cell": 579.59, "dos_at_fermi_per_ev_atom": 1.54, "sg": "Ima2 (46)", "magnetic_moment_mub_per_cell": 0.00, "energy_ev_per_cell": -78.46}

16.
{"formula": "SmHo8Tm6", "functional": "PBE-GGA", "state": "relaxed", "lattice_angstrom": [[-3.5604, -5.3157, -0.7611], [0.1979, 1.1908, -9.2426], [6.6267, -5.0388, 4.1928]], "species": ["Sm", "Ho", "Ho", "Ho", "Ho", "Ho", "Ho", "Ho", "Ho", "Tm", "Tm", "Tm", "Tm", "Tm", "Tm"], "frac_coords": [[0.5000, 0.0000, 0.0000], [0.9041, 0.9746, 0.3131], [0.9041, 0.6869, 0.6616], [0.9041, 0.3384, 0.0254], [0.0959, 0.0254, 0.6869], [0.0959, 0.3131, 0.3384], [0.0959, 0.6616, 0.9746], [0.8279, 0.3333, 0.6667], [0.1721, 0.6667, 0.3333], [0.5913, 0.6802, 0.0953], [0.5913, 0.9047, 0.5849], [0.5913, 0.4151, 0.3198], [0.4087, 0.3198, 0.9047], [0.4087, 0.0953, 0.4151], [0.4087, 0.5849, 0.6802]], "volume_a3_per_cell": 484.79, "dos_at_fermi_per_ev_atom": 1.45, "sg": "P-3 (147)", "magnetic_moment_mub_per_cell": 0.00, "energy_ev_per_cell": -64.63}

17.
{"formula": "Sm4HoTm6", "functional": "PBE-GGA", "state": "relaxed", "lattice_angstrom": [[7.6285, 0.0000, 0.0000], [0.0000, 7.6285, 0.0000], [-3.8143, -3.8143, 6.4968]], "species": ["Sm", "Sm", "Sm", "Sm", "Ho", "Tm", "Tm", "Tm", "Tm", "Tm", "Tm"], "frac_coords": [[0.0979, 0.7495, 0.8475], [0.9021, 0.9021, 0.1525], [0.7495, 0.0979, 0.8475], [0.2505, 0.2505, 0.1525], [0.5000, 0.5000, 0.0000], [0.9259, 0.4377, 0.3636], [0.4377, 0.9259, 0.3636], [0.5623, 0.5623, 0.6364], [0.0000, 0.5000, 0.0000], [0.0741, 0.0741, 0.6364], [0.5000, 0.0000, 0.0000]], "volume_a3_per_cell": 378.07, "dos_at_fermi_per_ev_atom": 1.26, "sg": "I-42m (121)", "magnetic_moment_mub_per_cell": 0.00, "energy_ev_per_cell": -45.11}

18.
{"formula": "SmHo7Tm12", "functional": "PBE-GGA", "state": "relaxed", "lattice_angstrom": [[9.0955, 0.0000, -3.2157], [-4.5477, 7.8769, -3.2157], [0.0000, 0.0000, 9.6472]], "species": ["Sm", "Ho", "Ho", "Ho", "Ho", "Ho", "Ho", "Ho", "Tm", "Tm", "Tm", "Tm", "Tm", "Tm", "Tm", "Tm", "Tm", "Tm", "Tm", "Tm"], "frac_coords": [[0.0000, 0.0000, 0.0000], [0.5000, 0.5000, 0.0000], [0.0000, 0.5000, 0.5000], [0.5000, 0.0000, 0.5000], [0.5000, 0.5000, 0.5000], [0.0000, 0.0000, 0.5000], [0.5000, 0.0000, 0.0000], [0.0000, 0.5000, 0.0000], [0.4906, 0.7454, 0.7452], [0.0003, 0.7454, 0.2548], [0.5094, 0.2546, 0.2548], [0.9997, 0.2546, 0.7452], [0.7452, 0.9997, 0.2546], [0.7452, 0.4906, 0.7454], [0.2548, 0.0003, 0.7454], [0.2548, 0.5094, 0.2546], [0.7454, 0.7452, 0.4906], [0.2546, 0.2548, 0.5094], [0.7454, 0.2548, 0.0003], [0.2546, 0.7452, 0.9997]], "volume_a3_per_cell": 691.17, "dos_at_fermi_per_ev_atom": 1.24, "sg": "Im-3m (229)", "magnetic_moment_mub_per_cell": 0.00, "energy_ev_per_cell": -75.57}